(1)
Computed, not measured: a relaxed structure of CaI2N at the PBE level of DFT.

Lattice parameters (Å, degrees): 5.903 5.903 14.971 90.00 90.00 90.00
Space group I-42d (No. 122)
Asymmetric unit:
1 Ca 0.000 0.000 0.000 [4 per cell]
2 I 0.167 0.250 0.625 [8 per cell]
3 N 0.000 0.000 0.500 [4 per cell]

The calculated total energy comes out at -11.7 eV/f.u. As for the excess energy over the best structure of this formula in the dataset: 360 meV per atom. As for the magnetization: 0.0 μB/f.u. Its energy relative to the elements, uncorrected is 0.428 eV/atom.

***

(2)
Computed, not measured: a relaxed structure of Ca2IN at the PBE level of DFT.

Lattice parameters (Å, degrees): 6.989 6.989 9.057 90.00 90.00 90.00
Space group I-42d (No. 122)
Asymmetric unit:
1 Ca 0.134 0.750 0.125 [8 per cell]
2 I 0.000 0.000 0.500 [4 per cell]
3 N 0.000 0.000 0.000 [4 per cell]

The calculated total energy comes out at -18.2 eV/f.u. As for the magnetization: 0.0 μB/f.u. Its energy relative to the elements, uncorrected is -1.069 eV/atom.

***

(3)
Computed, not measured: a relaxed structure of Ca3I2N at the PBE level of DFT.

Lattice parameters (Å, degrees): 6.986 12.119 7.894 90.00 107.45 90.00
Space group C2/m (No. 12)
Asymmetric unit:
1 Ca 0.168 0.000 0.175 [4 per cell]
2 Ca 0.243 0.195 0.822 [8 per cell]
3 I 0.000 0.000 0.500 [2 per cell]
4 I 0.000 0.342 0.500 [4 per cell]
5 I 0.000 0.500 0.000 [2 per cell]
6 N 0.000 0.168 0.000 [4 per cell]

The calculated total energy comes out at -23.6 eV/f.u. As for the excess energy over the best structure of this formula in the dataset: 47 meV per atom. As for the magnetization: 0.0 μB/f.u. Its energy relative to the elements, uncorrected is -1.030 eV/atom.

***

(4)
Computed, not measured: a relaxed structure of CaI2N2 at the PBE level of DFT.

Lattice parameters (Å, degrees): 7.829 4.519 11.391 90.00 94.12 90.00
Space group C2/m (No. 12)
Asymmetric unit:
1 Ca 0.000 0.000 0.000 [2 per cell]
2 I 0.150 0.500 0.843 [4 per cell]
3 N 0.054 0.000 0.471 [4 per cell]

The calculated total energy comes out at -26.6 eV/f.u. As for the excess energy over the best structure of this formula in the dataset: 0 meV per atom. As for the magnetization: 0.0 μB/f.u. Its energy relative to the elements, uncorrected is -0.975 eV/atom.

***

(5)
Computed, not measured: a relaxed structure of CaI2N2 at the PBE level of DFT.

Lattice parameters (Å, degrees): 4.850 4.850 4.409 90.00 90.00 90.00
Space group P4/mmm (No. 123)
Asymmetric unit:
1 Ca 0.000 0.000 0.000 [1 per cell]
2 I 0.000 0.500 0.500 [2 per cell]
3 N 0.500 0.500 0.000 [1 per cell]
4 N 0.500 0.500 0.500 [1 per cell]

The calculated total energy comes out at -16.5 eV/f.u. As for the excess energy over the best structure of this formula in the dataset: 2020 meV per atom. As for the magnetization: 1.1 μB/f.u. Its energy relative to the elements, uncorrected is 1.045 eV/atom.

***

(6)
Computed, not measured: a relaxed structure of Ca2IN at the PBE level of DFT.

Lattice parameters (Å, degrees): 6.812 7.759 10.423 90.00 90.00 90.00
Space group Pnma (No. 62)
Asymmetric unit:
1 Ca 0.169 0.060 0.221 [8 per cell]
2 I 0.126 0.250 0.895 [4 per cell]
3 N 0.076 0.750 0.738 [4 per cell]

The calculated total energy comes out at -17.4 eV/f.u. As for the magnetization: 0.0 μB/f.u. Its energy relative to the elements, uncorrected is -0.890 eV/atom.